[1]
The following is a PBE calculation of a relaxed NbNi3Ir crystal, from the Alexandria database.

## Properties
- SG = Pm-3m
- distance to the lowest polymorph of the same formula (kJ/mol of formula units) = 706
- formation energy (eV per atom) = 1.2881

a = 4.4360 Å, b = 4.4360 Å, c = 4.4360 Å
α = 90.00°, β = 90.00°, γ = 90.00°
Sites, in units of the cell vectors:
Nb 0.0000 0.0000 0.0000
Ni 0.0000 0.5000 0.5000
Ni 0.5000 0.0000 0.5000
Ni 0.5000 0.5000 0.0000
Ir 0.5000 0.5000 0.5000

[2]
The following is a PBE calculation of a relaxed BaHfP2S crystal, from the Alexandria database.

## Properties
- SG = P4/mmm
- distance to the lowest polymorph of the same formula (kJ/mol of formula units) = 0
- uncorrected formation energy (eV/atom) = -0.94

a = 5.0503 Å, b = 5.0503 Å, c = 5.0597 Å
α = 90.00°, β = 90.00°, γ = 90.00°
Sites, in units of the cell vectors:
Ba 0.0000 0.0000 0.0000
Hf 0.5000 0.5000 0.5000
P 0.0000 0.5000 0.5000
P 0.5000 0.0000 0.5000
S 0.5000 0.5000 0.0000

[3]
The following is a PBE calculation of a relaxed InGaHg crystal, from the Alexandria database.

## Properties
- SG = P1
- formation energy (eV per atom) = 0.0604

a = 4.2779 Å, b = 5.3904 Å, c = 6.5752 Å
α = 74.85°, β = 89.92°, γ = 89.91°
Sites, in units of the cell vectors:
In 0.0000 0.0000 0.0000
In 0.5003 0.1717 0.6183
Ga 0.0003 0.7490 0.6007
Ga 0.5001 0.7771 0.3237
Hg 0.0006 0.3720 0.2839
Hg 0.5006 0.5230 0.9208

[4]
The following is a PBE calculation of a relaxed Nb3Te crystal, from the Alexandria database.

## Properties
- SG = Pmm2
- distance to the lowest polymorph of the same formula (kJ/mol of formula units) = 199
- uncorrected formation energy (eV/atom) = 0.33

a = 3.4448 Å, b = 3.6241 Å, c = 6.7940 Å
α = 90.00°, β = 90.00°, γ = 90.00°
Sites, in units of the cell vectors:
Nb 0.0000 0.0000 0.0000
Nb 0.0000 0.5000 0.3043
Nb 0.5000 0.5000 0.8320
Te 0.5000 0.0000 0.4981

Number 1: calculated density 8.8 g cm⁻³, calculated volume 17.46 Å³/atom, size of the total moment 0.1 μB per cell. Number 2: calculated density 5.3 g cm⁻³, calculated volume 25.81 Å³/atom, size of the total moment 0.0 μB per cell. Number 3: calculated density 8.7 g cm⁻³, calculated volume 24.39 Å³/atom, size of the total moment 0.0 μB per cell. Number 4: calculated density 8.0 g cm⁻³, calculated volume 21.20 Å³/atom, size of the total moment 0.0 μB per cell.